# LaCr2Cu

LaCr2Cu after structural relaxation (GGA-PBE, Alexandria via LeMat-Bulk).

## Properties
total energy: -6.66 eV per atom
relative energy among the computed polymorphs: 0.110 eV/atom
magnetization: 0.170 μB/atom
energy relative to the elements: 1.6 eV per formula unit

abc: 4.768 4.768 6.733
angles: 90.00 90.00 90.00
Space group I-4m2 (No. 119)
Unique sites:
La 0.000 0.000 0.000 (multiplicity 2)
Cr 0.000 0.000 0.500 (multiplicity 2)
Cr 0.000 0.500 0.750 (multiplicity 2)
Cu 0.000 0.500 0.250 (multiplicity 2)